First-principles (GGA-PBE) data for a relaxed Nb3CBr crystal, as listed in the Alexandria database.

Cell: 4.3907 4.3907 4.3907 Å, 90.00 90.00 90.00°
Last column: nearest neighbours and their distance in Å.
Space group Pm-3m (No. 221)
Unique sites:
Nb1 0.0000 0.0000 0.5000  2 C 2.20
C1 0.0000 0.0000 0.0000  6 Nb 2.20
Br1 0.5000 0.5000 0.5000  12 Nb 3.10

energy relative to the elements, uncorrected: 0.455 eV per atom
calculated total energy: -7.7661 eV per atom



First-principles (GGA-PBE) data for a relaxed Sr3Ac2N4 crystal, as listed in the Alexandria database.

Cell: 12.7818 3.8257 9.5804 Å, 90.00 119.42 90.00°
Last column: nearest neighbours and their distance in Å.
Space group C2/m (No. 12)
Unique sites:
Sr1 0.0000 0.0000 0.0000  6 N 2.78-2.83
Sr2 0.2130 0.0000 0.8284  5 N 2.64-2.95
Ac1 0.1013 0.5000 0.3766  3 N 2.45-2.52
N1 0.0952 0.5000 0.8832  1 Ac 2.52, 5 Sr 2.64-2.78
N2 0.1935 0.0000 0.3183  2 Ac 2.45

energy relative to the elements, uncorrected: -0.736 eV per atom
calculated total energy: -5.9096 eV per atom



First-principles (GGA-PBE) data for a relaxed SiHgMo2 crystal, as listed in the Alexandria database.

Cell: 6.3599 6.3599 6.3599 Å, 90.00 90.00 90.00°
Last column: nearest neighbours and their distance in Å.
Space group Fm-3m (No. 225)
Unique sites:
Si1 0.0000 0.0000 0.0000  8 Mo 2.75
Hg1 0.0000 0.0000 0.5000  8 Mo 2.75
Mo1 0.2500 0.2500 0.2500  4 Hg 2.75, 4 Si 2.75

energy relative to the elements, uncorrected: 0.470 eV per atom
calculated total energy: -6.3772 eV per atom



First-principles (GGA-PBE) data for a relaxed LiCePuAu crystal, as listed in the Alexandria database.

Cell: 6.9886 6.9886 6.9886 Å, 90.00 90.00 90.00°
Last column: nearest neighbours and their distance in Å.
Space group F-43m (No. 216)
Unique sites:
Li1 0.0000 0.0000 0.0000  4 Pu 3.03, 4 Au 3.03
Ce1 0.0000 0.0000 0.5000  4 Pu 3.03, 4 Au 3.03
Pu1 0.2500 0.2500 0.2500  4 Ce 3.03, 4 Li 3.03
Au1 0.2500 0.2500 0.7500  4 Ce 3.03, 4 Li 3.03

calculated total energy: -6.5855 eV per atom



First-principles (GGA-PBE) data for a relaxed NdSmTmCd crystal, as listed in the Alexandria database.

Cell: 7.8023 7.8023 7.8023 Å, 90.00 90.00 90.00°
Last column: nearest neighbours and their distance in Å.
Space group F-43m (No. 216)
Unique sites:
Nd1 0.0000 0.0000 0.0000  4 Cd 3.38, 4 Tm 3.38
Sm1 0.0000 0.0000 0.5000  4 Tm 3.38, 4 Cd 3.38
Tm1 0.2500 0.2500 0.2500  4 Nd 3.38, 4 Sm 3.38
Cd1 0.2500 0.2500 0.7500  4 Nd 3.38, 4 Sm 3.38

calculated total energy: -3.7703 eV per atom



First-principles (GGA-PBE) data for a relaxed TmGe2Pt crystal, as listed in the Alexandria database.

Cell: 3.3376 3.3376 27.8751 Å, 90.00 90.00 120.00°
Last column: nearest neighbours and their distance in Å.
Space group R-3m (No. 166, hexagonal axes)
Unique sites:
Tm1 0.0000 0.0000 0.0000  2 Ge 2.90
Ge1 0.0000 0.0000 0.1041  3 Pt 2.60, 1 Tm 2.90
Pt1 0.0000 0.0000 0.5000  6 Ge 2.60

calculated total energy: -5.0088 eV per atom



First-principles (GGA-PBE) data for a relaxed ZnFeNi4 crystal, as listed in the Alexandria database.

Cell: 8.4050 2.5337 7.0841 Å, 90.00 114.89 90.00°
Last column: nearest neighbours and their distance in Å.
Space group C2/m (No. 12)
Unique sites:
Zn1 0.0000 0.0000 0.0000  2 Zn 2.53, 10 Ni 2.54-2.55
Fe1 0.0000 0.0000 0.5000  10 Ni 2.51-2.53, 2 Fe 2.53
Ni1 0.1673 0.5000 0.8298  2 Fe 2.51, 7 Ni 2.51-2.56, 3 Zn 2.54
Ni2 0.1685 0.5000 0.3387  7 Ni 2.46-2.56, 3 Fe 2.51-2.53, 2 Zn 2.55

calculated total energy: -5.5557 eV per atom



First-principles (GGA-PBE) data for a relaxed La4SmCu crystal, as listed in the Alexandria database.

Cell: 3.7044 3.7044 14.0532 Å, 90.00 90.00 90.00°
Last column: nearest neighbours and their distance in Å.
Space group P4/mmm (No. 123)
Unique sites:
La1 0.0000 0.0000 0.1247  4 Cu 3.15, 1 La 3.50
La2 0.5000 0.5000 0.3169  4 Sm 3.67, 8 La 3.70-3.76
Sm1 0.0000 0.0000 0.5000  8 La 3.67, 4 Sm 3.70
Cu1 0.5000 0.5000 0.0000  8 La 3.15

calculated total energy: -4.7868 eV per atom



Question: The highest calculated total energy belongs to which entry?
Answer: NdSmTmCd



Please write out number 1 again, unchanged.
First-principles (GGA-PBE) data for a relaxed Nb3CBr crystal, as listed in the Alexandria database.

Cell: 4.3907 4.3907 4.3907 Å, 90.00 90.00 90.00°
Last column: nearest neighbours and their distance in Å.
Space group Pm-3m (No. 221)
Unique sites:
Nb1 0.0000 0.0000 0.5000  2 C 2.20
C1 0.0000 0.0000 0.0000  6 Nb 2.20
Br1 0.5000 0.5000 0.5000  12 Nb 3.10

energy relative to the elements, uncorrected: 0.455 eV per atom
calculated total energy: -7.7661 eV per atom



Question: Which of these has the highest calculated total energy?
Answer: NdSmTmCd



Question: Look up the calculated total energy of the seventh one.
Answer: -5.5557 eV per atom